# La8Ho6Tm | Alexandria | PBE | optimized geometry
data_La8Ho6Tm
_symmetry_space_group_name_H-M 'P -3'
_symmetry_Int_Tables_number 147
_cell_length_a 9.4241
_cell_length_b 9.4241
_cell_length_c 6.6843
_cell_angle_alpha 90.00
_cell_angle_beta 90.00
_cell_angle_gamma 120.00
loop_
_symmetry_equiv_pos_as_xyz
'x,y,z'
'-x,-y,-z'
'-y,x-y,z'
'y,-x+y,-z'
'-x+y,-x,z'
'x-y,x,-z'
loop_
_atom_site_label
_atom_site_fract_x
_atom_site_fract_y
_atom_site_fract_z
La1 0.0438 0.7512 0.1678
La2 0.3333 0.6667 0.1195
Ho1 0.0979 0.6619 0.6502
Tm1 0.0000 0.0000 0.5000
# Energy of formation   0.1623 eV/atom